A relaxed structure of LaMoIO4, computed with PBE with a Hubbard U.

Cell lengths 11.223, 7.553, 7.352 Å; angles 90.00, 105.36, 90.00 degrees
Space group C2/m (No. 12)
Asymmetric unit:
La1 0.245 0.000 0.141 (multiplicity 4)
Mo1 0.135 0.500 0.261 (multiplicity 4)
I1 0.022 0.000 0.753 (multiplicity 4)
O1 0.030 0.500 0.791 (multiplicity 4)
O2 0.188 0.314 0.146 (multiplicity 8)
O3 0.199 0.500 0.511 (multiplicity 4)

Computed properties:
DFT total energy = -193.29 eV/cell
Crystal system = monoclinic
Size of the total moment = 0.000 μB per formula unit